The following is a DFT calculation (PBE-GGA) of a relaxed RbLiSiO3 crystal.

D(E_F): 0.00 states/eV/cell
Formation energy without anion corrections: -2.24 eV/atom
Theoretical density: 3.8 g cm⁻³
Total moment: 0.000 Bohr magnetons per cell
Space group: Cmcm

a b c (Å): 5.1489 5.5643 5.8238
angles (deg): 118.54 90.00 90.00
Element x y z (fractional)
Si: 0.7500 0.9484 0.8968
O: 0.7500 0.7892 0.5784
O: 0.5000 0.7907 0.0000
O: 0.0000 0.2093 0.0000
O: 0.0000 0.7907 0.0000
Li: 0.2500 0.4160 0.8320
Rb: 0.2500 0.7257 0.4515
Rb: 0.7500 0.2743 0.5485
O: 0.5000 0.2093 0.0000
O: 0.2500 0.2108 0.4216
Li: 0.7500 0.5840 0.1680
Si: 0.2500 0.0516 0.1032